No. 1
Entry from Alexandria: LaZnGa2Cu4 after structural relaxation (PBE).

The structure in POSCAR format:
```
LaZnGa2Cu4
1.0
2.101 1.213 8.725
-2.101 1.213 8.725
0.000 -2.426 8.725
La Zn Ga Cu
1 1 2 4
Cartesian
0.000 0.000 0.000
0.000 0.000 13.088
0.000 0.000 6.350
0.000 0.000 19.826
0.000 0.000 3.563
0.000 0.000 10.662
0.000 0.000 15.515
0.000 0.000 22.614
```

Computed properties:
Final energy = -3.80 eV per atom
Fermi-level density of states = 0.457 states/eV per atom
Size of the total moment = 0.0 μB per formula unit

=====

No. 2
Entry from Alexandria: LaZnGa4Cu2 after structural relaxation (PBE).

The structure in POSCAR format:
```
LaZnGa4Cu2
1.0
2.157 1.245 9.008
-2.157 1.245 9.008
0.000 -2.490 9.008
La Zn Ga Cu
1 1 4 2
Cartesian
0.000 0.000 0.000
0.000 0.000 13.512
0.000 0.000 3.401
0.000 0.000 10.871
0.000 0.000 16.153
0.000 0.000 23.623
0.000 0.000 6.385
0.000 0.000 20.639
```

Computed properties:
Final energy = -3.55 eV per atom
Fermi-level density of states = 0.329 states/eV per atom
Size of the total moment = 0.0 μB per formula unit

=====

No. 3
Entry from Alexandria: LaZnGaCu6 after structural relaxation (PBE).

The structure in POSCAR format:
```
LaZnGaCu6
1.0
-3.484 4.545 4.791
3.484 -4.545 4.791
3.484 4.545 -4.791
La Zn Ga Cu
2 2 2 12
Cartesian
0.000 2.272 2.227
3.484 2.272 2.564
1.742 2.272 -2.396
1.742 -2.272 2.396
0.000 0.000 0.000
0.000 4.545 0.000
2.210 -0.133 1.208
4.759 -0.133 1.208
3.484 -2.272 4.076
3.484 2.272 -0.447
2.210 4.412 -1.208
1.275 -0.133 3.583
2.210 4.678 1.208
1.275 0.133 5.999
0.000 2.272 5.238
0.000 6.817 0.715
-1.275 4.678 3.583
1.275 4.678 3.583
```

Computed properties:
Final energy = -3.63 eV per atom
Fermi-level density of states = 0.412 states/eV per atom
Size of the total moment = 0.0 μB per formula unit

=====

No. 4
Entry from Alexandria: LaZn2GaCu2 after structural relaxation (PBE).

The structure in POSCAR format:
```
LaZn2GaCu2
1.0
4.493 0.000 0.000
0.000 4.493 0.000
0.000 0.000 5.844
La Zn Ga Cu
1 2 1 2
Cartesian
0.000 0.000 0.000
2.247 2.247 1.393
2.247 2.247 4.450
0.000 0.000 2.922
0.000 2.247 2.922
2.247 0.000 2.922
```

Computed properties:
Final energy = -3.18 eV per atom
Fermi-level density of states = 0.619 states/eV per atom
Size of the total moment = 0.0 μB per formula unit

=====

No. 5
Entry from Alexandria: La2ZnGa3Cu12 after structural relaxation (PBE).

The structure in POSCAR format:
```
La2ZnGa3Cu12
1.0
4.009 2.315 6.192
-4.009 2.315 6.192
0.000 -4.629 6.192
La Zn Ga Cu
2 1 3 12
Cartesian
0.000 0.000 1.877
0.000 0.000 16.698
0.000 0.000 9.288
-2.005 -1.157 6.192
-2.005 1.157 12.383
0.000 2.315 6.192
-1.965 -1.135 8.753
0.000 -1.539 4.824
-1.332 0.769 4.824
0.000 -2.269 9.822
-1.965 1.135 9.822
1.332 0.769 4.824
-1.332 -0.769 13.751
1.965 -1.135 8.753
0.000 2.269 8.753
1.332 -0.769 13.751
0.000 1.539 13.751
1.965 1.135 9.822
```

Computed properties:
Final energy = -3.67 eV per atom
Fermi-level density of states = 0.473 states/eV per atom
Size of the total moment = 0.0 μB per formula unit

=====

No. 6
Entry from Alexandria: LaZnGaCu2 after structural relaxation (PBE).

The structure in POSCAR format:
```
LaZnGaCu2
1.0
-2.114 2.114 5.231
2.114 -2.114 5.231
2.114 2.114 -5.231
La Zn Ga Cu
1 1 1 2
Cartesian
0.000 0.000 0.000
0.000 2.114 2.616
2.114 0.000 2.616
0.000 0.000 3.996
0.000 0.000 6.466
```

Computed properties:
Final energy = -3.81 eV per atom
Fermi-level density of states = 0.749 states/eV per atom
Size of the total moment = 0.0 μB per formula unit

=====

No. 7
Entry from Alexandria: La2ZnGaCu6 after structural relaxation (PBE).

The structure in POSCAR format:
```
La2ZnGaCu6
1.0
0.000 4.615 4.615
4.615 0.000 4.615
4.615 4.615 0.000
La Zn Ga Cu
2 1 1 6
Cartesian
2.308 2.308 2.308
6.923 6.923 6.923
0.000 0.000 0.000
4.615 4.615 4.615
4.615 4.615 2.301
4.615 2.301 4.615
6.930 4.615 4.615
2.301 4.615 4.615
4.615 6.930 4.615
4.615 4.615 6.930
```

Computed properties:
Final energy = -3.84 eV per atom
Fermi-level density of states = 0.546 states/eV per atom
Size of the total moment = 0.0 μB per formula unit

=====

No. 8
Entry from Alexandria: La2ZnGa4Cu3 after structural relaxation (PBE).

The structure in POSCAR format:
```
La2ZnGa4Cu3
1.0
4.322 0.000 0.000
0.000 4.322 0.000
0.000 0.000 10.180
La Zn Ga Cu
2 1 4 3
Cartesian
0.000 2.161 2.528
2.161 0.000 7.652
2.161 2.161 0.000
0.000 0.000 5.090
0.000 2.161 8.818
2.161 0.000 1.361
2.161 2.161 5.090
0.000 0.000 0.000
0.000 2.161 6.376
2.161 0.000 3.804
```

Computed properties:
Final energy = -4.02 eV per atom
Fermi-level density of states = 0.593 states/eV per atom
Size of the total moment = 0.0 μB per formula unit

=====

No. 9
Entry from Alexandria: LaZn2GaCu after structural relaxation (PBE).

The structure in POSCAR format:
```
LaZn2GaCu
1.0
4.677 0.000 0.000
0.000 4.677 0.000
0.000 0.000 4.697
La Zn Ga Cu
1 2 1 1
Cartesian
0.000 0.000 0.000
0.000 2.338 2.348
2.338 0.000 2.348
2.338 2.338 0.000
2.338 2.338 2.348
```

Computed properties:
Final energy = -3.12 eV per atom
Fermi-level density of states = 0.553 states/eV per atom
Size of the total moment = 0.0 μB per formula unit

=====

No. 10
Entry from Alexandria: La3ZnGa2Cu6 after structural relaxation (PBE).

The structure in POSCAR format:
```
La3ZnGa2Cu6
1.0
5.776 0.000 0.000
-2.888 5.002 0.000
0.000 0.000 8.414
La Zn Ga Cu
3 1 2 6
Cartesian
0.000 0.000 0.000
0.000 3.335 5.369
2.888 1.667 3.045
0.000 0.000 4.207
0.000 3.335 0.314
2.888 1.667 8.100
0.000 1.855 2.425
-1.282 4.075 2.425
1.606 0.927 5.989
1.282 4.075 2.425
4.170 0.927 5.989
2.888 3.147 5.989
```

Computed properties:
Final energy = -4.03 eV per atom
Fermi-level density of states = 0.669 states/eV per atom
Size of the total moment = 0.0 μB per formula unit

=====

No. 11
Entry from Alexandria: LiGa4Cu after structural relaxation (PBE).

The structure in POSCAR format:
```
LiGa4Cu
1.0
-3.096 3.096 5.162
3.096 -3.096 5.162
3.096 3.096 -5.162
Li Ga Cu
2 8 2
Cartesian
0.000 0.000 0.000
0.000 0.000 5.162
4.054 0.959 -1.430
0.959 2.137 -1.430
4.054 0.959 1.430
0.959 2.137 1.430
2.137 0.959 3.731
-0.959 2.137 3.731
2.137 0.959 6.592
-0.959 2.137 6.592
0.000 0.000 2.581
0.000 0.000 7.742
```

Computed properties:
Final energy = -3.15 eV per atom
Fermi-level density of states = 0.180 states/eV per atom
Size of the total moment = 0.0 μB per formula unit

=====

No. 12
Entry from Alexandria: Li3Ga2Cu5 after structural relaxation (PBE).

The structure in POSCAR format:
```
Li3Ga2Cu5
1.0
-5.027 6.061 2.462
5.027 -6.061 2.462
5.027 6.061 -2.462
Li Ga Cu
6 4 10
Cartesian
5.979 2.759 0.000
0.000 0.000 1.231
0.952 3.302 0.000
4.074 2.759 2.462
0.000 0.000 3.693
-0.952 3.302 2.462
3.529 -4.159 2.462
3.529 4.159 0.000
1.497 1.902 2.462
1.497 10.220 0.000
3.545 1.801 0.000
2.526 6.061 -1.231
2.501 0.000 1.231
5.027 0.000 1.231
3.545 -1.801 2.462
1.481 7.862 0.000
0.000 6.061 1.231
2.526 6.061 1.231
2.501 0.000 3.693
1.481 4.261 2.462
```

Computed properties:
Final energy = -3.24 eV per atom
Fermi-level density of states = 0.349 states/eV per atom
Size of the total moment = 0.0 μB per formula unit

=====

Which formula does entry 8 have?
La2ZnGa4Cu3